AlCrW2O8: relaxed, PBEsol.

For the uncorrected formation energy, the calculation gives -2.21 eV/atom.

The space group is P2/c (No. 13) and the conventional cell measures 4.9077, 5.4334 and 10.1345 Å, with angles of 90.00, 116.32 and 90.00 degrees. The distinct sites, in fractional coordinates, are Al at (0.0000, 0.1285, 0.2500), Cr at (0.5000, 0.1379, 0.7500), W at (0.2838, 0.3604, 0.0077), O at (0.1949, 0.3809, 0.6110), O at (0.2218, 0.1161, 0.1354), O at (0.2690, 0.1299, 0.8648) and O at (0.2792, 0.3582, 0.3706).



Y3Al3Cr2O12: relaxed, PBEsol.

For the uncorrected formation energy, the calculation gives -3.02 eV/atom.

The space group is Ia-3d (No. 230) and the conventional cell measures 12.0911, 12.0911 and 12.0911 Å, with angles of 90.00, 90.00 and 90.00 degrees. The distinct sites, in fractional coordinates, are Y at (0.0000, 0.2500, 0.1250), Al at (0.0000, 0.2500, 0.3750), Cr at (0.0000, 0.0000, 0.0000) and O at (0.0304, 0.0546, 0.6522).



AlCrOs2: relaxed, PBEsol.

The formation energy comes out at -0.13 eV per atom.

The space group is P4/mmm (No. 123) and the conventional cell measures 4.2192, 4.2192 and 2.9436 Å, with angles of 90.00, 90.00 and 90.00 degrees. The distinct sites, in fractional coordinates, are Al at (0.0000, 0.0000, 0.0000), Cr at (0.5000, 0.5000, 0.0000) and Os at (0.0000, 0.5000, 0.5000).



AlCrOs: relaxed, PBEsol.

The formation energy comes out at 0.11 eV per atom.

The space group is Fmm2 (No. 42) and the conventional cell measures 2.8470, 4.4810 and 12.5201 Å, with angles of 90.00, 90.00 and 90.00 degrees. The distinct sites, in fractional coordinates, are Al at (0.0000, 0.0000, 0.0000), Cr at (0.0000, 0.0000, 0.6652) and Os at (0.0000, 0.0000, 0.3266).



Al2CrOs: relaxed, PBEsol.

The formation energy comes out at -0.17 eV per atom.

The space group is P4/mmm (No. 123) and the conventional cell measures 4.1694, 4.1694 and 3.1037 Å, with angles of 90.00, 90.00 and 90.00 degrees. The distinct sites, in fractional coordinates, are Al at (0.0000, 0.5000, 0.0000), Cr at (0.0000, 0.0000, 0.5000) and Os at (0.5000, 0.5000, 0.5000).



Al2CrOs: relaxed, PBEsol.

The formation energy comes out at -0.18 eV per atom.

The space group is Cm (No. 8) and the conventional cell measures 9.5013, 3.0205 and 4.1404 Å, with angles of 90.00, 115.73 and 90.00 degrees. The distinct sites, in fractional coordinates, are Al at (0.0000, 0.0000, 0.0000), Al at (0.2281, 0.0000, 0.7274), Cr at (0.4825, 0.0000, 0.4826) and Os at (0.2496, 0.5000, 0.2489).



AlCrOs: relaxed, PBEsol.

The formation energy comes out at -0.01 eV per atom.

The space group is P3m1 (No. 156) and the conventional cell measures 2.7098, 2.7098 and 6.2845 Å, with angles of 90.00, 90.00 and 120.00 degrees. The distinct sites, in fractional coordinates, are Al at (0.0000, 0.0000, 0.0000), Cr at (0.3333, 0.6667, 0.6648) and Os at (0.6667, 0.3333, 0.3533).



Al2CrOs: relaxed, PBEsol.

The formation energy comes out at -0.28 eV per atom.

The space group is Fm-3m (No. 225) and the conventional cell measures 6.0041, 6.0041 and 6.0041 Å, with angles of 90.00, 90.00 and 90.00 degrees. The distinct sites, in fractional coordinates, are Al at (0.2500, 0.2500, 0.2500), Cr at (0.0000, 0.0000, 0.0000) and Os at (0.0000, 0.0000, 0.5000).



AlCrOs: relaxed, PBEsol.

The formation energy comes out at -0.25 eV per atom.

The space group is I4mm (No. 107) and the conventional cell measures 2.8919, 2.8919 and 9.1858 Å, with angles of 90.00, 90.00 and 90.00 degrees. The distinct sites, in fractional coordinates, are Al at (0.0000, 0.0000, 0.0000), Cr at (0.0000, 0.0000, 0.6668) and Os at (0.0000, 0.0000, 0.3235).



AlCrP2: relaxed, PBEsol.

The formation energy comes out at -0.17 eV per atom.

The space group is P4/mmm (No. 123) and the conventional cell measures 2.8626, 2.8626 and 6.3059 Å, with angles of 90.00, 90.00 and 90.00 degrees. The distinct sites, in fractional coordinates, are Al at (0.0000, 0.0000, 0.0000), Cr at (0.0000, 0.0000, 0.5000) and P at (0.5000, 0.5000, 0.2921).



AlCrP2: relaxed, PBEsol.

The formation energy comes out at 0.04 eV per atom.

The space group is C2/m (No. 12) and the conventional cell measures 5.1298, 6.6084 and 3.2079 Å, with angles of 90.00, 98.72 and 90.00 degrees. The distinct sites, in fractional coordinates, are Al at (0.0000, 0.0000, 0.0000), Cr at (0.0000, 0.5000, 0.0000) and P at (0.2500, 0.2500, 0.5000).



AlCr4P: relaxed, PBEsol.

The formation energy comes out at 0.23 eV per atom.

The space group is F-43m (No. 216) and the conventional cell measures 6.6145, 6.6145 and 6.6145 Å, with angles of 90.00, 90.00 and 90.00 degrees. The distinct sites, in fractional coordinates, are Al at (0.0000, 0.0000, 0.0000), Cr at (0.1246, 0.1246, 0.6246) and P at (0.2500, 0.2500, 0.2500).



Repeat the tenth record exactly.
AlCrP2: relaxed, PBEsol.

The formation energy comes out at -0.17 eV per atom.

The space group is P4/mmm (No. 123) and the conventional cell measures 2.8626, 2.8626 and 6.3059 Å, with angles of 90.00, 90.00 and 90.00 degrees. The distinct sites, in fractional coordinates, are Al at (0.0000, 0.0000, 0.0000), Cr at (0.0000, 0.0000, 0.5000) and P at (0.5000, 0.5000, 0.2921).